[1]
A plane-wave DFT calculation with PBE was carried out for a relaxed MnCdAg crystal.

a = 5.0856 Å, b = 5.0856 Å, c = 5.0856 Å
α = 145.44°, β = 133.29°, γ = 59.39°
Fractional coordinates of all 3 atoms:
Mn 0.0000 0.0000 0.0000
Cd 0.3327 0.3327 0.0000
Ag 0.6610 0.6610 0.0000

Summary:
- D(E_F) (states/eV/atom) = 0.466
- crystal system = orthorhombic
- E_tot (eV per atom) = -4.118

***

[2]
A plane-wave DFT calculation with PBE was carried out for a relaxed AgAu2 crystal.

a = 6.0111 Å, b = 4.0849 Å, c = 8.7786 Å
α = 90.00°, β = 90.00°, γ = 90.00°
Fractional coordinates of all 12 atoms:
Ag 0.1247 0.2500 0.0829
Ag 0.3753 0.7500 0.5829
Ag 0.6247 0.2500 0.4171
Ag 0.8753 0.7500 0.9171
Au 0.1247 0.2500 0.4162
Au 0.1266 0.2500 0.7511
Au 0.3734 0.7500 0.2511
Au 0.3753 0.7500 0.9162
Au 0.6247 0.2500 0.0838
Au 0.6266 0.2500 0.7489
Au 0.8734 0.7500 0.2489
Au 0.8753 0.7500 0.5838

Summary:
- D(E_F) (states/eV/atom) = 0.278
- crystal system = orthorhombic
- E_tot (eV per atom) = -3.173

***

[3]
A plane-wave DFT calculation with PBE was carried out for a relaxed TlReHg2 crystal.

a = 2.8720 Å, b = 2.8720 Å, c = 11.4138 Å
α = 90.00°, β = 90.00°, γ = 90.00°
Fractional coordinates of all 4 atoms:
Tl 0.0000 0.0000 0.0000
Re 0.5000 0.5000 0.7815
Hg 0.0000 0.0000 0.5870
Hg 0.5000 0.5000 0.3173

Summary:
- D(E_F) (states/eV/atom) = 0.693
- crystal system = tetragonal
- E_tot (eV per atom) = -3.078

***

[4]
A plane-wave DFT calculation with PBE was carried out for a relaxed K3Tm2RhO6 crystal.

a = 5.7564 Å, b = 5.7564 Å, c = 6.4792 Å
α = 98.47°, β = 98.47°, γ = 119.96°
Fractional coordinates of all 12 atoms:
K 0.0000 0.0000 0.0000
K 0.3381 0.6619 0.0000
K 0.6619 0.3381 0.0000
Tm 0.1670 0.8330 0.5000
Tm 0.8330 0.1670 0.5000
Rh 0.5000 0.5000 0.5000
O 0.1148 0.4384 0.3149
O 0.2374 0.2374 0.6842
O 0.4384 0.1148 0.3149
O 0.5616 0.8852 0.6851
O 0.7626 0.7626 0.3158
O 0.8852 0.5616 0.6851

Summary:
- D(E_F) (states/eV/atom) = 0.000
- crystal system = monoclinic
- E_tot (eV per atom) = -6.297
- formation energy (no corrections) (meV/atom) = -2186

***

[5]
A plane-wave DFT calculation with PBE was carried out for a relaxed CsK2LiAu crystal.

a = 6.6609 Å, b = 6.6609 Å, c = 5.5175 Å
α = 90.00°, β = 90.00°, γ = 90.00°
Fractional coordinates of all 5 atoms:
Cs 0.0000 0.0000 0.0000
K 0.0000 0.5000 0.5000
K 0.5000 0.0000 0.5000
Li 0.5000 0.5000 0.0000
Au 0.5000 0.5000 0.5000

Summary:
- D(E_F) (states/eV/atom) = 0.899
- crystal system = tetragonal
- E_tot (eV per atom) = -1.711

***

[6]
A plane-wave DFT calculation with PBE was carried out for a relaxed Na3AcPr2S6 crystal.

a = 7.3389 Å, b = 7.3389 Å, c = 7.1280 Å
α = 99.86°, β = 99.86°, γ = 120.02°
Fractional coordinates of all 12 atoms:
Na 0.0000 0.0000 0.0000
Na 0.3315 0.6685 0.0000
Na 0.6685 0.3315 0.0000
Ac 0.5000 0.5000 0.5000
Pr 0.1666 0.8334 0.5000
Pr 0.8334 0.1666 0.5000
S 0.0789 0.4216 0.2644
S 0.2364 0.2364 0.7378
S 0.4216 0.0789 0.2644
S 0.5784 0.9211 0.7356
S 0.7636 0.7636 0.2622
S 0.9211 0.5784 0.7356

Summary:
- D(E_F) (states/eV/atom) = 0.000
- crystal system = monoclinic
- E_tot (eV per atom) = -5.322
- formation energy (no corrections) (meV/atom) = -1789

***

[7]
A plane-wave DFT calculation with PBE was carried out for a relaxed TbNd4Eu crystal.

a = 6.8214 Å, b = 6.8214 Å, c = 6.8214 Å
α = 60.00°, β = 60.00°, γ = 60.00°
Fractional coordinates of all 6 atoms:
Tb 0.0000 0.0000 0.0000
Nd 0.1185 0.6272 0.6272
Nd 0.6272 0.1185 0.6272
Nd 0.6272 0.6272 0.1185
Nd 0.6272 0.6272 0.6272
Eu 0.2500 0.2500 0.2500

Summary:
- D(E_F) (states/eV/atom) = 1.541
- crystal system = cubic
- E_tot (eV per atom) = -5.430

***

[8]
A plane-wave DFT calculation with PBE was carried out for a relaxed Tm2PuRuN4 crystal.

a = 5.9724 Å, b = 5.9724 Å, c = 11.3949 Å
α = 90.00°, β = 90.00°, γ = 147.84°
Fractional coordinates of all 16 atoms:
Tm 0.1300 0.8700 0.5453
Tm 0.1300 0.8700 0.9547
Tm 0.8700 0.1300 0.0453
Tm 0.8700 0.1300 0.4547
Pu 0.3819 0.6181 0.7500
Pu 0.6181 0.3819 0.2500
Ru 0.3584 0.6416 0.2500
Ru 0.6416 0.3584 0.7500
N 0.0332 0.9668 0.7500
N 0.2282 0.7718 0.1296
N 0.2282 0.7718 0.3704
N 0.5000 0.5000 0.0000
N 0.5000 0.5000 0.5000
N 0.7718 0.2282 0.6296
N 0.7718 0.2282 0.8704
N 0.9668 0.0332 0.2500

Summary:
- D(E_F) (states/eV/atom) = 0.933
- crystal system = orthorhombic
- E_tot (eV per atom) = -9.249
- formation energy (no corrections) (meV/atom) = -1017